Record 1
A plane-wave DFT calculation with PBE-GGA was carried out for an optimized crystal structure of K12Hg5Pd3.

Unit cell a=17.120 b=17.120 c=17.120 alpha=109.47 beta=109.47 gamma=109.47
Sites, in units of the cell vectors:
Hg: 0.500 0.000 0.500
Hg: 0.625 0.875 0.250
Hg: 0.000 0.500 0.000
K: 0.936 0.108 0.868
K: 0.868 0.608 0.936
K: 0.671 0.239 0.608
K: 0.829 0.892 0.261
K: 0.239 0.568 0.632
K: 0.568 0.329 0.936
K: 0.432 0.761 0.868
Pd: 0.375 0.750 0.625
Hg: 0.000 0.500 0.500
K: 0.564 0.632 0.392
K: 0.132 0.739 0.568
Pd: 0.250 0.625 0.875
K: 0.329 0.568 0.436
K: 0.892 0.829 0.761
K: 0.368 0.436 0.108
Hg: 0.375 0.250 0.125
Pd: 0.125 0.250 0.875
K: 0.239 0.671 0.108
K: 0.739 0.132 0.068
Hg: 0.500 0.500 0.500
Hg: 0.125 0.375 0.250
K: 0.568 0.239 0.132
K: 0.132 0.392 0.064
K: 0.564 0.932 0.671
Pd: 0.750 0.375 0.125
Pd: 0.875 0.125 0.250
K: 0.392 0.132 0.564
K: 0.432 0.671 0.064
K: 0.436 0.368 0.608
Pd: 0.625 0.375 0.750
Pd: 0.250 0.125 0.375
K: 0.064 0.892 0.132
K: 0.064 0.171 0.432
K: 0.608 0.868 0.436
Pd: 0.750 0.875 0.625
K: 0.261 0.868 0.932
K: 0.739 0.608 0.171
Hg: 0.875 0.250 0.625
K: 0.936 0.829 0.568
K: 0.761 0.329 0.892
K: 0.761 0.432 0.368
K: 0.329 0.761 0.392
K: 0.392 0.261 0.329
K: 0.892 0.064 0.632
Hg: 0.750 0.125 0.875
Pd: 0.375 0.625 0.250
Pd: 0.875 0.750 0.125
K: 0.932 0.368 0.261
Hg: 0.625 0.750 0.875
K: 0.671 0.432 0.564
K: 0.171 0.108 0.739
Hg: 0.375 0.125 0.750
Hg: 0.500 0.000 0.000
Hg: 0.875 0.625 0.750
Hg: 0.250 0.375 0.625
K: 0.108 0.171 0.239
Hg: 0.000 0.000 0.000
K: 0.632 0.068 0.239
K: 0.632 0.564 0.892
Hg: 0.750 0.625 0.375
Hg: 0.125 0.750 0.375
Hg: 0.000 0.000 0.500
Hg: 0.250 0.875 0.125
K: 0.608 0.739 0.671
K: 0.368 0.932 0.761
K: 0.068 0.436 0.829
K: 0.829 0.936 0.068
K: 0.436 0.068 0.329
K: 0.868 0.261 0.432
K: 0.068 0.632 0.739
K: 0.171 0.064 0.932
K: 0.108 0.936 0.368
Pd: 0.625 0.250 0.375
K: 0.261 0.392 0.829
K: 0.932 0.564 0.171
Pd: 0.125 0.875 0.750
Hg: 0.500 0.500 0.000

- Crystal system: cubic
- Symmetry: Ia-3d, No. 230
- DOS(E_F): 1.0468 states/eV per atom
- ΔE_f: 0.09 eV/atom
- Volume: 48.3 A^3/atom

---

Record 2
A plane-wave DFT calculation with PBE-GGA was carried out for an optimized crystal structure of K4Hg12Pd.

Unit cell a=8.677 b=8.677 c=8.677 alpha=109.47 beta=109.47 gamma=109.47
Sites, in units of the cell vectors:
Hg: 0.500 0.250 0.750
K: 0.500 0.500 0.500
Hg: 0.000 0.281 0.281
K: 0.000 0.000 0.500
Hg: 0.719 0.000 0.719
Hg: 0.000 0.719 0.719
Hg: 0.250 0.750 0.500
Hg: 0.281 0.281 0.000
Pd: 0.000 0.000 0.000
Hg: 0.750 0.500 0.250
Hg: 0.719 0.719 0.000
Hg: 0.750 0.250 0.500
Hg: 0.281 0.000 0.281
Hg: 0.500 0.750 0.250
Hg: 0.250 0.500 0.750
K: 0.500 0.000 0.000
K: 0.000 0.500 0.000

- Crystal system: cubic
- Symmetry: Im-3m, No. 229
- DOS(E_F): 0.4130 states/eV per atom
- ΔE_f: -0.21 eV/atom
- Volume: 29.6 A^3/atom

---

Record 3
A plane-wave DFT calculation with PBE-GGA was carried out for an optimized crystal structure of K2Hg6PdPt.

Unit cell a=5.372 b=5.372 c=10.745 alpha=90.00 beta=90.00 gamma=90.00
Sites, in units of the cell vectors:
Hg: 0.500 0.500 0.250
K: 0.000 0.000 0.749
Hg: 0.500 0.000 0.500
Pd: 0.500 0.500 0.000
Hg: 0.000 0.500 0.000
Hg: 0.000 0.500 0.500
Pt: 0.500 0.500 0.500
Hg: 0.500 0.500 0.750
Hg: 0.500 0.000 0.000
K: 0.000 0.000 0.251

- Crystal system: tetragonal
- Symmetry: P4/mmm, No. 123
- DOS(E_F): 0.3151 states/eV per atom
- ΔE_f: -0.26 eV/atom
- Volume: 31.0 A^3/atom

---

Record 4
A plane-wave DFT calculation with PBE-GGA was carried out for an optimized crystal structure of KHg2PdPt.

Unit cell a=5.280 b=5.208 c=5.280 alpha=90.00 beta=90.00 gamma=90.00
Sites, in units of the cell vectors:
Pt: 0.000 0.000 0.000
K: 0.500 0.500 0.500
Hg: 0.000 0.000 0.500
Hg: 0.500 0.000 0.000
Pd: 0.000 0.500 0.000

- Crystal system: tetragonal
- Symmetry: P4/mmm, No. 123
- DOS(E_F): 1.0687 states/eV per atom
- ΔE_f: 0.03 eV/atom
- Volume: 29.0 A^3/atom

---

Record 5
A plane-wave DFT calculation with PBE-GGA was carried out for an optimized crystal structure of KHgPd2Pt.

Unit cell a=5.175 b=5.164 c=5.175 alpha=90.00 beta=90.00 gamma=90.00
Sites, in units of the cell vectors:
K: 0.500 0.500 0.500
Pd: 0.500 0.000 0.000
Pd: 0.000 0.000 0.500
Hg: 0.000 0.000 0.000
Pt: 0.000 0.500 0.000

- Crystal system: tetragonal
- Symmetry: P4/mmm, No. 123
- DOS(E_F): 0.5943 states/eV per atom
- ΔE_f: 0.58 eV/atom
- Volume: 27.7 A^3/atom

---

Record 6
A plane-wave DFT calculation with PBE-GGA was carried out for an optimized crystal structure of K2Rb2Hg4Pd.

Unit cell a=7.726 b=7.726 c=7.726 alpha=99.37 beta=114.75 gamma=114.75
Sites, in units of the cell vectors:
Rb: 0.500 0.750 0.250
Pd: 0.000 0.000 0.000
Hg: 0.000 0.768 0.232
Hg: 0.000 0.232 0.768
Hg: 0.465 0.232 0.232
Rb: 0.500 0.250 0.750
Hg: 0.535 0.768 0.768
K: 0.000 0.313 0.313
K: 0.000 0.687 0.687

- Crystal system: tetragonal
- Symmetry: I4/mmm, No. 139
- DOS(E_F): 0.4549 states/eV per atom
- ΔE_f: -0.20 eV/atom
- Volume: 38.5 A^3/atom